# 1
A plane-wave DFT calculation with PBE was carried out for a relaxed structure of NaPt3Pb5.

Results
DOS at the Fermi energy: 4.7 states/eV/f.u.
Symmetry: C2/m
Energy of formation: -0.11 eV/atom
Crystal system: monoclinic

Structure (POSCAR):
```
NaPt3Pb5
1.0
6.252 -4.615 0.000
6.252 4.615 0.000
-4.592 0.000 9.055
Na Pt Pb
2 6 10
Direct
0.115 0.115 0.315 Na
0.885 0.885 0.685 Na
0.000 0.000 0.000 Pt
0.000 0.000 0.500 Pt
0.328 0.328 0.840 Pt
0.358 0.358 0.339 Pt
0.642 0.642 0.661 Pt
0.672 0.672 0.160 Pt
0.052 0.640 0.326 Pb
0.231 0.231 0.035 Pb
0.293 0.707 0.000 Pb
0.360 0.948 0.674 Pb
0.411 0.411 0.633 Pb
0.589 0.589 0.367 Pb
0.640 0.052 0.326 Pb
0.707 0.293 0.000 Pb
0.769 0.769 0.965 Pb
0.948 0.360 0.674 Pb
```

# 2
A plane-wave DFT calculation with PBE was carried out for a relaxed structure of NaPt2Pb8.

Results
DOS at the Fermi energy: 7.4 states/eV/f.u.
Symmetry: C2/m
Energy of formation: -0.10 eV/atom
Crystal system: monoclinic

Structure (POSCAR):
```
NaPt2Pb8
1.0
4.458 -6.477 0.000
4.458 6.477 0.000
-1.035 0.000 5.398
Na Pt Pb
1 2 8
Direct
0.000 0.000 0.000 Na
0.323 0.677 0.500 Pt
0.677 0.323 0.500 Pt
0.070 0.333 0.610 Pb
0.253 0.747 0.000 Pb
0.333 0.070 0.610 Pb
0.377 0.377 0.196 Pb
0.623 0.623 0.804 Pb
0.667 0.930 0.390 Pb
0.747 0.253 0.000 Pb
0.930 0.667 0.390 Pb
```

# 3
A plane-wave DFT calculation with PBE was carried out for a relaxed structure of NaPt3Pb.

Results
DOS at the Fermi energy: 4.9 states/eV/f.u.
Symmetry: Pm-3m
Energy of formation: 0.75 eV/atom
E above lowest polymorph: 0.00 eV/f.u.
Crystal system: cubic

Structure (POSCAR):
```
NaPt3Pb
1.0
5.140 0.000 0.000
0.000 5.140 0.000
0.000 0.000 5.140
Na Pt Pb
1 3 1
Direct
0.000 0.000 0.000 Na
0.000 0.500 0.500 Pt
0.500 0.000 0.500 Pt
0.500 0.500 0.000 Pt
0.500 0.500 0.500 Pb
```

# 4
A plane-wave DFT calculation with PBE was carried out for a relaxed structure of Na4Pt2Pb5.

Results
DOS at the Fermi energy: 5.0 states/eV/f.u.
Symmetry: P2/m
Energy of formation: -0.10 eV/atom
Crystal system: monoclinic

Structure (POSCAR):
```
Na4Pt2Pb5
1.0
7.987 0.000 0.000
0.000 3.651 0.000
-0.298 0.000 9.845
Na Pt Pb
4 2 5
Direct
0.187 0.000 0.358 Na
0.219 0.000 0.928 Na
0.781 0.000 0.072 Na
0.813 0.000 0.642 Na
0.068 0.500 0.130 Pt
0.932 0.500 0.870 Pt
0.142 0.500 0.650 Pb
0.418 0.500 0.166 Pb
0.500 0.500 0.500 Pb
0.582 0.500 0.834 Pb
0.858 0.500 0.350 Pb
```

# 5
A plane-wave DFT calculation with PBE was carried out for a relaxed structure of Na5PtPb2.

Results
DOS at the Fermi energy: 3.2 states/eV/f.u.
Symmetry: Pbam
Energy of formation: -0.14 eV/atom
Crystal system: orthorhombic

Structure (POSCAR):
```
Na5PtPb2
1.0
7.607 0.000 0.000
0.000 14.469 0.000
0.000 0.000 3.881
Na Pt Pb
10 2 4
Direct
0.000 0.000 0.000 Na
0.027 0.242 0.000 Na
0.227 0.388 0.500 Na
0.273 0.888 0.500 Na
0.473 0.742 0.000 Na
0.500 0.500 0.000 Na
0.527 0.258 0.000 Na
0.727 0.112 0.500 Na
0.773 0.612 0.500 Na
0.973 0.758 0.000 Na
0.000 0.500 0.000 Pt
0.500 0.000 0.000 Pt
0.195 0.607 0.500 Pb
0.305 0.107 0.500 Pb
0.695 0.893 0.500 Pb
0.805 0.393 0.500 Pb
```

# 6
A plane-wave DFT calculation with PBE was carried out for a relaxed structure of NaPtPb4.

Results
DOS at the Fermi energy: 2.8 states/eV/f.u.
Symmetry: C2/m
Energy of formation: -0.07 eV/atom
Crystal system: monoclinic

Structure (POSCAR):
```
NaPtPb4
1.0
8.013 0.000 0.000
0.000 4.635 0.000
-2.664 0.000 9.887
Na Pt Pb
2 2 8
Direct
0.000 0.000 0.000 Na
0.500 0.500 0.000 Na
0.000 0.500 0.500 Pt
0.500 0.000 0.500 Pt
0.097 0.500 0.796 Pb
0.128 0.000 0.383 Pb
0.372 0.500 0.617 Pb
0.403 0.000 0.204 Pb
0.597 0.000 0.796 Pb
0.628 0.500 0.383 Pb
0.872 0.000 0.617 Pb
0.903 0.500 0.204 Pb
```

# 7
A plane-wave DFT calculation with PBE was carried out for a relaxed structure of Na2PtPb2.

Results
DOS at the Fermi energy: 2.2 states/eV/f.u.
Symmetry: C2/m
Energy of formation: -0.18 eV/atom
E above lowest polymorph: 0.06 eV/f.u.
Crystal system: monoclinic

Structure (POSCAR):
```
Na2PtPb2
1.0
3.444 -4.828 0.000
3.444 4.828 0.000
-3.107 0.000 8.133
Na Pt Pb
4 2 4
Direct
0.208 0.208 0.423 Na
0.239 0.239 0.018 Na
0.761 0.761 0.982 Na
0.792 0.792 0.577 Na
0.253 0.747 0.500 Pt
0.747 0.253 0.500 Pt
0.172 0.562 0.765 Pb
0.438 0.828 0.235 Pb
0.562 0.172 0.765 Pb
0.828 0.438 0.235 Pb
```

# 8
A plane-wave DFT calculation with PBE was carried out for a relaxed structure of NaPt4Pb.

Results
DOS at the Fermi energy: 3.6 states/eV/f.u.
Symmetry: F-43m
Energy of formation: -0.29 eV/atom
Crystal system: cubic

Structure (POSCAR):
```
NaPt4Pb
1.0
0.000 3.838 3.838
3.838 0.000 3.838
3.838 3.838 0.000
Na Pt Pb
1 4 1
Direct
0.000 0.000 0.000 Na
0.125 0.625 0.625 Pt
0.625 0.125 0.625 Pt
0.625 0.625 0.125 Pt
0.625 0.625 0.625 Pt
0.250 0.250 0.250 Pb
```

# 9
A plane-wave DFT calculation with PBE was carried out for a relaxed structure of Na2PtPb2.

Results
DOS at the Fermi energy: 2.7 states/eV/f.u.
Symmetry: Ibam
Energy of formation: -0.19 eV/atom
E above lowest polymorph: 0.00 eV/f.u.
Crystal system: orthorhombic

Structure (POSCAR):
```
Na2PtPb2
1.0
-3.324 6.760 2.935
3.324 -6.760 2.935
3.324 6.760 -2.935
Na Pt Pb
4 2 4
Direct
0.095 0.155 0.250 Na
0.405 0.655 0.061 Na
0.595 0.345 0.939 Na
0.905 0.845 0.750 Na
0.250 0.750 0.500 Pt
0.750 0.250 0.500 Pt
0.167 0.643 0.810 Pb
0.333 0.143 0.476 Pb
0.667 0.857 0.524 Pb
0.833 0.357 0.190 Pb
```

# 10
A plane-wave DFT calculation with PBE was carried out for a relaxed structure of Na3Pt2Pb4.

Results
DOS at the Fermi energy: 3.1 states/eV/f.u.
Symmetry: C2/m
Energy of formation: -0.21 eV/atom
Crystal system: monoclinic

Structure (POSCAR):
```
Na3Pt2Pb4
1.0
5.619 -2.417 0.000
5.619 2.417 0.000
-0.292 0.000 8.805
Na Pt Pb
3 2 4
Direct
0.000 0.000 0.000 Na
0.397 0.397 0.302 Na
0.603 0.603 0.698 Na
0.273 0.273 0.605 Pt
0.727 0.727 0.395 Pt
0.104 0.104 0.368 Pb
0.316 0.316 0.919 Pb
0.684 0.684 0.081 Pb
0.896 0.896 0.632 Pb
```

# 11
A plane-wave DFT calculation with PBE was carried out for a relaxed structure of NaPt2Pb2.

Results
DOS at the Fermi energy: 1.9 states/eV/f.u.
Symmetry: I4/mmm
Energy of formation: -0.15 eV/atom
E above lowest polymorph: 0.13 eV/f.u.
Crystal system: tetragonal

Structure (POSCAR):
```
NaPt2Pb2
1.0
4.880 0.000 0.000
0.000 4.880 0.000
0.000 0.000 10.786
Na Pt Pb
2 4 4
Direct
0.000 0.000 0.000 Na
0.500 0.500 0.500 Na
0.000 0.000 0.379 Pt
0.000 0.000 0.621 Pt
0.500 0.500 0.121 Pt
0.500 0.500 0.879 Pt
0.000 0.500 0.250 Pb
0.000 0.500 0.750 Pb
0.500 0.000 0.250 Pb
0.500 0.000 0.750 Pb
```

# 12
A plane-wave DFT calculation with PBE was carried out for a relaxed structure of Na2Pt3Pb5.

Results
DOS at the Fermi energy: 4.6 states/eV/f.u.
Symmetry: Cmc2_1
Energy of formation: -0.25 eV/atom
Crystal system: orthorhombic

Structure (POSCAR):
```
Na2Pt3Pb5
1.0
2.304 -14.083 0.000
2.304 14.083 0.000
0.000 0.000 7.590
Na Pt Pb
4 6 10
Direct
0.023 0.977 0.500 Na
0.331 0.669 0.550 Na
0.669 0.331 0.050 Na
0.977 0.023 0.000 Na
0.105 0.895 0.248 Pt
0.277 0.723 0.043 Pt
0.452 0.548 0.292 Pt
0.548 0.452 0.792 Pt
0.723 0.277 0.543 Pt
0.895 0.105 0.748 Pt
0.097 0.903 0.874 Pb
0.204 0.796 0.319 Pb
0.208 0.792 0.760 Pb
0.380 0.620 0.006 Pb
0.454 0.546 0.671 Pb
0.546 0.454 0.171 Pb
0.620 0.380 0.506 Pb
0.792 0.208 0.260 Pb
0.796 0.204 0.819 Pb
0.903 0.097 0.374 Pb
```